A relaxed LaLuAg crystal, computed with PBE.

Geometry as POSCAR:
```
LaLuAg
1.0
5.053 0.000 0.000
-2.526 4.376 0.000
0.000 0.000 3.912
La Lu Ag
1 1 1
Direct
0.000 0.000 0.000
0.333 0.667 0.500
0.667 0.333 0.505
```

electronic total energy = -4.154 eV/atom
offset from the most stable computed form = 0.1170 eV per atom
symmetry = P3m1
calculated formation energy = -0.16 eV/f.u.

---

A relaxed FeSb2IN crystal, computed with PBE.

Geometry as POSCAR:
```
FeSb2IN
1.0
5.836 0.000 0.000
0.000 5.836 0.000
0.000 0.000 3.894
Fe Sb I N
1 2 1 1
Direct
0.000 0.000 0.000
0.000 0.500 0.500
0.500 0.000 0.500
0.500 0.500 0.500
0.500 0.500 0.000
```

electronic total energy = -3.565 eV/atom
raw formation energy = 8.76 eV per formula unit
offset from the most stable computed form = 0.4518 eV per atom
symmetry = P4/mmm

---

A relaxed MnCr crystal, computed with PBE.

Geometry as POSCAR:
```
MnCr
1.0
-1.408 1.994 3.980
1.408 -1.994 3.980
1.408 1.994 -3.980
Mn Cr
2 2
Direct
0.369 0.119 0.250
0.631 0.881 0.750
0.119 0.369 0.750
0.881 0.631 0.250
```

electronic total energy = -9.340 eV/atom
symmetry = Imma
calculated formation energy = 0.11 eV/f.u.

---

A relaxed La6Nd5Sm crystal, computed with PBE.

Geometry as POSCAR:
```
La6Nd5Sm
1.0
6.111 -5.558 0.000
6.111 5.558 0.000
-1.115 0.000 6.339
La Nd Sm
6 5 1
Direct
0.084 0.417 0.750
0.250 0.250 0.249
0.417 0.084 0.750
0.583 0.916 0.250
0.750 0.750 0.751
0.916 0.583 0.250
0.000 0.000 0.500
0.167 0.833 0.000
0.334 0.666 0.500
0.666 0.334 0.500
0.833 0.167 0.000
0.500 0.500 0.000
```

electronic total energy = -4.834 eV/atom
offset from the most stable computed form = 0.0000 eV per atom
symmetry = C2/m
calculated formation energy = 0.11 eV/f.u.

---

no.,magnetization (μB/f.u.)
1,0.0
2,3.2
3,0.0
4,0.0